No. 1
Computed, not measured: an optimized crystal structure of BaTlCo2 at the PBE level of DFT.

Calculated values
The space-group type is P4/mmm.

Structure (POSCAR):
```
BaTlCo2
1.0
-1.770 -2.036 2.247
-2.332 -2.153 -3.789
3.575 -3.402 -0.267
Ba Co Tl
1 2 1
Cartesian
0.903 -2.719 0.990
0.000 0.000 0.000
0.621 -2.778 -2.028
-2.051 -2.095 -0.771
```

---

No. 2
Computed, not measured: an optimized crystal structure of BaTlCo at the PBE level of DFT.

Calculated values
The space-group type is I4mm.

Structure (POSCAR):
```
BaTlCo
1.0
-4.350 0.883 4.811
-3.794 -4.080 3.436
5.957 1.323 -2.369
Ba Co Tl
1 1 1
Cartesian
-8.087 -3.175 8.190
-2.400 -0.942 2.430
-5.800 -2.277 5.874
```

---

No. 3
Computed, not measured: an optimized crystal structure of BaTlCo2 at the PBE level of DFT.

Calculated values
The space-group type is Imm2.

Structure (POSCAR):
```
BaTlCo2
1.0
-0.928 -5.707 1.332
-1.253 -3.363 -4.725
4.064 3.512 2.522
Ba Co Tl
1 2 1
Cartesian
0.884 -2.095 -1.913
-2.022 -8.412 -3.147
0.928 -3.762 0.930
-1.177 -4.896 -1.832
```

---

No. 4
Computed, not measured: an optimized crystal structure of BaTlCo3 at the PBE level of DFT.

Calculated values
As for the energy above the most stable polymorph in this dataset: 0 meV per atom. The space-group type is Pm-3m.

Structure (POSCAR):
```
BaTlCo3
1.0
-4.302 -2.549 -0.177
0.286 -0.824 4.927
-2.539 4.227 0.854
Tl Co Ba
1 3 1
Cartesian
0.000 0.000 0.000
0.143 -0.412 2.464
-1.270 2.113 0.427
-2.151 -1.274 -0.088
-3.278 0.427 2.802
```

---

No. 5
Computed, not measured: an optimized crystal structure of BaTlCo at the PBE level of DFT.

Calculated values
The space-group type is F-43m.

Structure (POSCAR):
```
BaTlCo
1.0
4.958 0.000 0.000
2.479 4.294 0.000
2.479 1.431 4.049
Ba Co Tl
1 1 1
Cartesian
4.958 2.863 2.024
7.438 4.294 3.036
0.000 0.000 0.000
```

---

No. 6
Computed, not measured: an optimized crystal structure of BaTlCo2 at the PBE level of DFT.

Calculated values
The space-group type is P4mm.

Structure (POSCAR):
```
BaTlCo2
1.0
3.329 0.000 0.000
0.000 3.329 0.000
0.000 0.000 7.922
Ba Co Tl
1 2 1
Cartesian
1.665 1.665 6.255
0.000 0.000 0.728
1.665 1.665 1.494
0.000 0.000 3.404
```

---

No. 7
Computed, not measured: an optimized crystal structure of Ba2TlCo2 at the PBE level of DFT.

Calculated values
The space-group type is P4/mbm.

Structure (POSCAR):
```
Ba2TlCo2
1.0
7.663 0.000 0.000
0.000 7.663 0.000
0.000 0.000 4.803
Tl Co Ba
2 4 4
Cartesian
0.000 0.000 0.000
3.831 3.831 0.000
3.058 6.890 0.000
6.890 4.604 0.000
4.604 0.773 0.000
0.773 3.058 0.000
1.400 5.231 2.401
5.231 6.263 2.401
6.263 2.431 2.401
2.431 1.400 2.401
```

---

No. 8
Computed, not measured: an optimized crystal structure of Ba4TlCo at the PBE level of DFT.

Calculated values
The space-group type is F-43m.

Structure (POSCAR):
```
Ba4TlCo
1.0
0.000 5.081 5.081
5.081 0.000 5.081
5.081 5.081 0.000
Ba Tl Co
4 1 1
Cartesian
3.810 6.351 6.351
6.351 6.351 3.810
6.351 3.810 6.351
3.810 3.810 3.810
0.000 0.000 0.000
7.621 7.621 7.621
```

---

Number 1: electronic total energy -15.33 eV per formula unit, calculated formation energy 0.7932 eV/atom. Number 2: electronic total energy -10.46 eV per formula unit, calculated formation energy 0.3121 eV/atom. Number 3: electronic total energy -16.53 eV per formula unit, calculated formation energy 0.4928 eV/atom. Number 4: electronic total energy -20.22 eV per formula unit, calculated formation energy 1.0783 eV/atom. Number 5: electronic total energy -10.24 eV per formula unit, calculated formation energy 0.3845 eV/atom. Number 6: electronic total energy -16.97 eV per formula unit, calculated formation energy 0.3818 eV/atom. Number 7: electronic total energy -19.04 eV per formula unit, calculated formation energy 0.2763 eV/atom. Number 8: electronic total energy -12.42 eV per formula unit, calculated formation energy 0.7906 eV/atom.